No. 1
Entry from the Alexandria database: a geometry-optimized SiRuCl2 structure (PBEsol).

Structure (CIF):
```
data_SiRuCl2
_symmetry_space_group_name_H-M 'P 1 2/m 1'
_symmetry_Int_Tables_number 10
_symmetry_space_group_name_Hall '-P 2y'
_cell_length_a 4.558
_cell_length_b 3.503
_cell_length_c 6.465
_cell_angle_alpha 90.00
_cell_angle_beta 110.47
_cell_angle_gamma 90.00
loop_
_atom_site_label
_atom_site_type_symbol
_atom_site_fract_x
_atom_site_fract_y
_atom_site_fract_z
_atom_site_occupancy
Si1 Si 0.000 0.000 0.000 1
Ru1 Ru 0.500 0.000 0.000 1
Cl1 Cl 0.366 0.500 0.732 1
```

Values from the calculation:
Theoretical density (g/cm³): 3.435
Relative energy among the computed polymorphs (meV/atom): 8
Raw formation energy (eV per atom): -0.0153
VASP energy (eV/atom): -4.999

No. 2
Entry from the Alexandria database: a geometry-optimized YInGaAg2 structure (PBEsol).

Structure (CIF):
```
data_YInGaAg2
_symmetry_space_group_name_H-M 'P 4/m m m'
_symmetry_Int_Tables_number 123
_symmetry_space_group_name_Hall '-P 4 2'
_cell_length_a 4.780
_cell_length_b 4.780
_cell_length_c 5.322
_cell_angle_alpha 90.00
_cell_angle_beta 90.00
_cell_angle_gamma 90.00
loop_
_atom_site_label
_atom_site_type_symbol
_atom_site_fract_x
_atom_site_fract_y
_atom_site_fract_z
_atom_site_occupancy
Y1 Y 0.000 0.000 0.000 1
In1 In 0.500 0.500 0.000 1
Ga1 Ga 0.000 0.000 0.500 1
Ag1 Ag 0.000 0.500 0.500 1
```

Values from the calculation:
Theoretical density (g/cm³): 6.679
VASP energy (eV/atom): -3.791

No. 3
Entry from the Alexandria database: a geometry-optimized HfTe3As structure (PBEsol).

Structure (CIF):
```
data_HfTe3As
_symmetry_space_group_name_H-M 'P m -3 m'
_symmetry_Int_Tables_number 221
_symmetry_space_group_name_Hall '-P 4 2 3'
_cell_length_a 5.457
_cell_length_b 5.457
_cell_length_c 5.457
_cell_angle_alpha 90.00
_cell_angle_beta 90.00
_cell_angle_gamma 90.00
loop_
_atom_site_label
_atom_site_type_symbol
_atom_site_fract_x
_atom_site_fract_y
_atom_site_fract_z
_atom_site_occupancy
Hf1 Hf 0.000 0.000 0.000 1
Te1 Te 0.000 0.000 0.500 1
As1 As 0.500 0.500 0.500 1
```

Values from the calculation:
Theoretical density (g/cm³): 6.502
Raw formation energy (eV per atom): 0.3375
VASP energy (eV/atom): -4.900